(1)
The following is a DFT calculation (PBE) of crystalline Na2FeSiS4 at its relaxed geometry.

calculated density = 2.37 g cm⁻³
formation energy without anion corrections = -0.80 eV per atom
uncorrected energy = -4.9287 eV/atom
crystal system = monoclinic
SG = C2
volume = 22.6 Å³ per atom

Cell: 8.782 9.364 6.219 Å, 90.00 134.88 90.00°
Element x y z (fractional)
Na (0.000, 0.000, 0.000)
Na (0.000, 0.250, 0.500)
Na (0.500, 0.500, 0.000)
Na (0.500, 0.750, 0.500)
Fe (0.000, 0.498, 0.000)
Fe (0.500, 0.998, 0.000)
Si (0.000, 0.748, 0.500)
Si (0.500, 0.248, 0.500)
S (0.175, 0.624, 0.441)
S (0.233, 0.872, 0.908)
S (0.267, 0.372, 0.092)
S (0.325, 0.124, 0.559)
S (0.675, 0.124, 0.441)
S (0.733, 0.372, 0.908)
S (0.767, 0.872, 0.092)
S (0.825, 0.624, 0.559)

(2)
The following is a DFT calculation (PBE) of crystalline Na4FeSn3S8 at its relaxed geometry.

calculated density = 3.71 g cm⁻³
formation energy without anion corrections = -0.69 eV per atom
uncorrected energy = -4.3650 eV/atom
crystal system = trigonal
SG = R-3m
volume = 21.3 Å³ per atom

Cell: 8.027 8.027 8.027 Å, 57.03 57.03 57.03°
Element x y z (fractional)
Na (0.000, 0.000, 0.000)
Na (0.000, 0.500, 0.500)
Na (0.500, 0.000, 0.500)
Na (0.500, 0.500, 0.000)
Fe (0.500, 0.500, 0.500)
Sn (0.000, 0.000, 0.500)
Sn (0.000, 0.500, 0.000)
Sn (0.500, 0.000, 0.000)
S (0.245, 0.245, 0.245)
S (0.253, 0.729, 0.729)
S (0.271, 0.271, 0.747)
S (0.271, 0.747, 0.271)
S (0.729, 0.253, 0.729)
S (0.729, 0.729, 0.253)
S (0.747, 0.271, 0.271)
S (0.755, 0.755, 0.755)

(3)
The following is a DFT calculation (PBE) of crystalline Na3Ti2FeS6 at its relaxed geometry.

calculated density = 3.24 g cm⁻³
formation energy without anion corrections = -1.10 eV per atom
uncorrected energy = -5.5157 eV/atom
crystal system = monoclinic
SG = C2/m
volume = 17.7 Å³ per atom

Cell: 6.105 6.105 6.974 Å, 98.32 98.32 121.46°
Element x y z (fractional)
Na (0.000, 0.000, 0.000)
Na (0.324, 0.676, 0.000)
Na (0.676, 0.324, 0.000)
Ti (0.152, 0.848, 0.500)
Ti (0.848, 0.152, 0.500)
Fe (0.500, 0.500, 0.500)
S (0.115, 0.438, 0.302)
S (0.259, 0.259, 0.715)
S (0.438, 0.115, 0.302)
S (0.562, 0.885, 0.698)
S (0.741, 0.741, 0.285)
S (0.885, 0.562, 0.698)

(4)
The following is a DFT calculation (PBE) of crystalline Na4Ti3FeS8 at its relaxed geometry.

calculated density = 3.19 g cm⁻³
formation energy without anion corrections = -1.15 eV per atom
uncorrected energy = -5.5562 eV/atom
crystal system = trigonal
SG = R-3m
volume = 17.8 Å³ per atom

Cell: 7.813 7.813 7.813 Å, 53.36 53.36 53.36°
Element x y z (fractional)
Na (0.000, 0.000, 0.000)
Na (0.000, 0.500, 0.500)
Na (0.500, 0.000, 0.500)
Na (0.500, 0.500, 0.000)
Ti (0.000, 0.000, 0.500)
Ti (0.000, 0.500, 0.000)
Ti (0.500, 0.000, 0.000)
Fe (0.500, 0.500, 0.500)
S (0.237, 0.237, 0.237)
S (0.246, 0.729, 0.729)
S (0.271, 0.271, 0.754)
S (0.271, 0.754, 0.271)
S (0.729, 0.246, 0.729)
S (0.729, 0.729, 0.246)
S (0.754, 0.271, 0.271)
S (0.763, 0.763, 0.763)

(5)
The following is a DFT calculation (PBE) of crystalline Na3U3FeS8 at its relaxed geometry.

calculated density = 5.19 g cm⁻³
formation energy without anion corrections = -1.18 eV per atom
uncorrected energy = -6.4636 eV/atom
crystal system = trigonal
SG = R-3m
volume = 23.4 Å³ per atom

Cell: 8.132 8.132 8.132 Å, 56.60 56.60 56.60°
Element x y z (fractional)
Na (0.000, 0.500, 0.500)
Na (0.500, 0.000, 0.500)
Na (0.500, 0.500, 0.000)
U (0.000, 0.000, 0.500)
U (0.000, 0.500, 0.000)
U (0.500, 0.000, 0.000)
Fe (0.500, 0.500, 0.500)
S (0.245, 0.245, 0.245)
S (0.250, 0.732, 0.732)
S (0.268, 0.268, 0.750)
S (0.268, 0.750, 0.268)
S (0.732, 0.250, 0.732)
S (0.732, 0.732, 0.250)
S (0.750, 0.268, 0.268)
S (0.755, 0.755, 0.755)

(6)
The following is a DFT calculation (PBE) of crystalline Na4U3FeS8 at its relaxed geometry.

calculated density = 5.30 g cm⁻³
formation energy without anion corrections = -1.18 eV per atom
uncorrected energy = -6.2210 eV/atom
crystal system = trigonal
SG = R-3m
volume = 21.9 Å³ per atom

Cell: 8.097 8.097 8.097 Å, 57.11 57.11 57.11°
Element x y z (fractional)
Na (0.000, 0.000, 0.000)
Na (0.000, 0.500, 0.500)
Na (0.500, 0.000, 0.500)
Na (0.500, 0.500, 0.000)
U (0.000, 0.000, 0.500)
U (0.000, 0.500, 0.000)
U (0.500, 0.000, 0.000)
Fe (0.500, 0.500, 0.500)
S (0.245, 0.245, 0.245)
S (0.250, 0.736, 0.736)
S (0.264, 0.264, 0.750)
S (0.264, 0.750, 0.264)
S (0.736, 0.250, 0.736)
S (0.736, 0.736, 0.250)
S (0.750, 0.264, 0.264)
S (0.755, 0.755, 0.755)

What is the formula in the fifth record?
Na3U3FeS8

Among the records above, which one has the highest volume?
Na3U3FeS8

Which formula does entry 6 have?
Na4U3FeS8

Which value of calculated density does entry 1 give?
2.37 g cm⁻³